# 1
## ZrRe2W (PBE-GGA)

Data for an optimized crystal structure of ZrRe2W.

Cell: 3.204 3.204 6.597 Å, 90.00 90.00 90.00°
Fractional positions:
Re 0.000 0.000 0.015
Re 0.500 0.500 0.252
W 0.000 0.000 0.480
Zr 0.500 0.500 0.753

Values from the calculation:
N(E_F)	2.605	states/eV per cell
energy of formation	0.033	eV per atom
crystal system	tetragonal


# 2
## ZrRe3W (PBE-GGA)

Data for an optimized crystal structure of ZrRe3W.

Cell: 4.677 4.677 4.677 Å, 90.00 90.00 90.00°
Fractional positions:
Re 0.000 0.500 0.000
Re 0.000 0.000 0.500
Re 0.500 0.000 0.000
Zr 0.000 0.000 0.000
W 0.500 0.500 0.500

Values from the calculation:
N(E_F)	4.144	states/eV per cell
energy of formation	2.809	eV per atom
crystal system	cubic


# 3
## ZrReW3 (PBE-GGA)

Data for an optimized crystal structure of ZrReW3.

Cell: 4.763 4.763 4.763 Å, 90.00 90.00 90.00°
Fractional positions:
Re 0.000 0.000 0.000
Zr 0.500 0.500 0.500
W 0.000 0.500 0.000
W 0.000 0.000 0.500
W 0.500 0.000 0.000

Values from the calculation:
N(E_F)	8.653	states/eV per cell
energy of formation	1.587	eV per atom
energy relative to the lowest polymorph listed for this composition	0.000	eV/atom
crystal system	cubic


# 4
## Zr2ReW (PBE-GGA)

Data for an optimized crystal structure of Zr2ReW.

Cell: 4.705 4.705 3.337 Å, 90.00 90.00 90.01°
Fractional positions:
Re 0.500 0.000 0.500
W 0.000 0.500 0.500
Zr 0.000 0.000 0.000
Zr 0.500 0.500 0.000

Values from the calculation:
N(E_F)	6.478	states/eV per cell
energy of formation	0.038	eV per atom
crystal system	tetragonal


# 5
## Zr2ReW (PBE-GGA)

Data for an optimized crystal structure of Zr2ReW.

Cell: 4.610 2.909 5.489 Å, 80.99 90.00 90.00°
Fractional positions:
Re 0.500 0.250 0.250
W 0.500 0.750 0.750
Zr 0.000 0.006 0.003
Zr 0.000 0.494 0.497

Values from the calculation:
N(E_F)	4.311	states/eV per cell
energy of formation	0.076	eV per atom
crystal system	monoclinic


# 6
## ZrRe4W (PBE-GGA)

Data for an optimized crystal structure of ZrRe4W.

Cell: 5.220 5.220 5.220 Å, 60.00 60.00 60.00°
Fractional positions:
Zr 0.000 0.000 0.000
Re 0.877 0.374 0.374
Re 0.374 0.374 0.877
Re 0.374 0.877 0.374
Re 0.374 0.374 0.374
W 0.750 0.750 0.750

Values from the calculation:
N(E_F)	6.187	states/eV per cell
energy of formation	0.005	eV per atom
crystal system	cubic


# 7
## ZrRe2W (PBE-GGA)

Data for an optimized crystal structure of ZrRe2W.

Cell: 5.329 5.329 5.329 Å, 145.13 128.75 63.48°
Fractional positions:
Re 0.992 0.992 0.000
Re 0.508 0.508 0.000
W 0.750 0.250 0.500
Zr 0.250 0.750 0.500

Values from the calculation:
N(E_F)	2.713	states/eV per cell
energy of formation	0.007	eV per atom
crystal system	orthorhombic


# 8
## Zr2ReW (PBE-GGA)

Data for an optimized crystal structure of Zr2ReW.

Cell: 2.891 2.891 9.616 Å, 90.00 90.00 111.80°
Fractional positions:
Re 0.000 0.000 0.515
W 0.500 0.500 0.730
Zr 0.000 0.000 0.980
Zr 0.500 0.500 0.276

Values from the calculation:
N(E_F)	3.495	states/eV per cell
energy of formation	0.096	eV per atom
crystal system	orthorhombic